Entry 1:
CaBi2PbO6 (PBE, relaxed); symmetry = R3 (146); size of the total moment = 0.0 μB/f.u.
1.0
-0.073 4.086 -4.414
-3.517 -0.830 -4.810
-5.002 3.561 -0.719
Ca Bi Pb O
1 2 1 6
direct
0.806 0.806 0.583
0.521 0.521 0.438
0.023 0.023 0.931
0.311 0.311 0.067
0.611 0.181 0.246
0.181 0.963 0.246
0.963 0.611 0.246
0.433 0.679 0.753
0.679 0.135 0.753
0.135 0.433 0.753

Entry 2:
Ca4BiPbO (PBE, relaxed); symmetry = I4mm (107); size of the total moment = 0.0 μB/f.u.
1.0
-4.173 -1.463 -1.665
-0.681 -2.531 3.931
-1.436 8.795 2.574
Ca Bi Pb O
4 1 1 1
direct
0.003 0.503 0.006
0.503 0.003 0.006
0.822 0.822 0.644
0.158 0.158 0.316
0.638 0.638 0.276
0.358 0.358 0.716
0.018 0.018 0.035

Number 1: uncorrected energy -5.816 eV/atom, raw formation energy -14.94 eV per formula unit. Number 2: uncorrected energy -4.259 eV/atom, raw formation energy -9.26 eV per formula unit.